[1]
A relaxed TiPtPbO6 crystal, computed with PBE.

Output
The value obtained for the total magnetization is 0.000 μB/atom. The value obtained for the formation energy without anion corrections is -12.78 eV per formula unit. As for the space group: P-31c (163). The crystal system is trigonal.

a b c (Å): 5.1741 5.1741 9.6172
angles (deg): 90.00 90.00 120.00
Atoms (fractional coordinates):
1 O 0.6461 0.0074 0.3650
2 O 0.6387 0.6461 0.6350
3 O 0.9926 0.3539 0.1350
4 O 0.6387 0.9926 0.8650
5 O 0.0074 0.3613 0.6350
6 O 0.3613 0.0074 0.1350
7 O 0.0074 0.6461 0.8650
8 O 0.3539 0.3613 0.8650
9 O 0.6461 0.6387 0.1350
10 O 0.9926 0.6387 0.3650
11 O 0.3539 0.9926 0.6350
12 O 0.3613 0.3539 0.3650
13 Ti 0.3333 0.6667 0.7500
14 Ti 0.6667 0.3333 0.2500
15 Pb 0.0000 0.0000 0.0000
16 Pb 0.0000 0.0000 0.5000
17 Pt 0.3333 0.6667 0.2500
18 Pt 0.6667 0.3333 0.7500

[2]
A relaxed TlPtPbO4 crystal, computed with PBE.

Output
The value obtained for the total magnetization is 0.000 μB/atom. The value obtained for the formation energy without anion corrections is -4.02 eV per formula unit. As for the space group: Imma (74). The crystal system is orthorhombic.

a b c (Å): 6.1838 7.2221 6.8074
angles (deg): 118.12 90.00 115.35
Atoms (fractional coordinates):
1 O 0.2870 0.5740 0.7244
2 O 0.6946 0.9332 0.2166
3 O 0.7614 0.0668 0.7834
4 O 0.7130 0.4260 0.2756
5 O 0.3054 0.0668 0.7834
6 O 0.2386 0.9332 0.2166
7 O 0.2870 0.5740 0.3496
8 O 0.7130 0.4260 0.6504
9 Pb 0.5000 0.0000 0.5000
10 Pb 0.5000 0.0000 0.0000
11 Pt 0.0000 0.5000 0.5000
12 Pt 0.5000 0.5000 0.5000
13 Tl 0.1687 0.3374 0.9187
14 Tl 0.8313 0.6626 0.0813

[3]
A relaxed TlPtPb2O8 crystal, computed with PBE.

Output
The value obtained for the total magnetization is 0.072 μB/atom. The value obtained for the formation energy without anion corrections is -7.43 eV per formula unit. As for the space group: P2/m (10). The crystal system is monoclinic.

a b c (Å): 4.9635 4.8642 6.9090
angles (deg): 90.00 90.00 90.30
Atoms (fractional coordinates):
1 O 0.8435 0.2133 0.7795
2 O 0.3179 0.2551 0.0000
3 O 0.1566 0.7868 0.7795
4 O 0.1565 0.7867 0.2205
5 O 0.6821 0.7449 0.0000
6 O 0.6622 0.7144 0.5000
7 O 0.3378 0.2856 0.5000
8 O 0.8434 0.2132 0.2205
9 Pb 0.5000 0.4999 0.7546
10 Pb 0.5000 0.5001 0.2454
11 Pt 0.0000 0.0000 0.0000
12 Tl 0.0000 0.0000 0.5000

[4]
A relaxed TlPtPbO6 crystal, computed with PBE.

Output
The value obtained for the total magnetization is 0.081 μB/atom. The value obtained for the formation energy without anion corrections is -5.08 eV per formula unit. As for the space group: P4_2nm (102). The crystal system is tetragonal.

a b c (Å): 4.9358 4.9358 10.1932
angles (deg): 90.00 90.00 90.00
Atoms (fractional coordinates):
1 O 0.3191 0.3191 0.6809
2 O 0.6840 0.6840 0.9841
3 O 0.8160 0.1840 0.4841
4 O 0.2153 0.7847 0.8351
5 O 0.7847 0.2153 0.8351
6 O 0.3160 0.3160 0.9841
7 O 0.6809 0.6809 0.6809
8 O 0.2847 0.2847 0.3351
9 O 0.7153 0.7153 0.3351
10 O 0.8191 0.1809 0.1809
11 O 0.1809 0.8191 0.1809
12 O 0.1840 0.8160 0.4841
13 Pb 0.5000 0.5000 0.5000
14 Pb 0.0000 0.0000 0.0000
15 Pt 0.0000 0.0000 0.3329
16 Pt 0.5000 0.5000 0.8329
17 Tl 0.5000 0.5000 0.1668
18 Tl 0.0000 0.0000 0.6668

[5]
A relaxed Tl2PtPbO8 crystal, computed with PBE.

Output
The value obtained for the total magnetization is 0.127 μB/atom. The value obtained for the formation energy without anion corrections is -5.95 eV per formula unit. As for the space group: P2/m (10). The crystal system is monoclinic.

a b c (Å): 5.0699 4.9479 6.7751
angles (deg): 89.99 89.99 92.47
Atoms (fractional coordinates):
1 Pb 0.0000 0.0000 0.5000
2 O 0.1456 0.7903 0.7776
3 O 0.1455 0.7902 0.2224
4 O 0.8544 0.2097 0.2224
5 O 0.6616 0.7288 0.5001
6 O 0.3384 0.2712 0.4999
7 O 0.3198 0.2413 0.0001
8 O 0.8545 0.2098 0.7776
9 O 0.6802 0.7587 0.9999
10 Tl 0.4999 0.4999 0.7551
11 Tl 0.5001 0.5001 0.2449
12 Pt 0.0000 0.0000 0.0000

[6]
A relaxed TmPtPb2O6 crystal, computed with PBE.

Output
The value obtained for the total magnetization is 0.000 μB/atom. The value obtained for the formation energy without anion corrections is -15.07 eV per formula unit. As for the space group: P2_1/c (14). The crystal system is monoclinic.

a b c (Å): 5.8087 5.8571 8.2401
angles (deg): 90.00 90.11 90.00
Atoms (fractional coordinates):
1 O 0.7255 0.2983 0.9562
2 O 0.3036 0.7223 0.4589
3 O 0.8036 0.7777 0.9589
4 O 0.0820 0.4780 0.7626
5 O 0.4180 0.9780 0.7374
6 O 0.1964 0.2223 0.0411
7 O 0.2745 0.7017 0.0438
8 O 0.9180 0.5220 0.2374
9 O 0.2255 0.2017 0.4562
10 O 0.6964 0.2777 0.5411
11 O 0.7745 0.7983 0.5438
12 O 0.5820 0.0220 0.2626
13 Tm 0.5000 0.0000 0.0000
14 Tm 0.0000 0.5000 0.5000
15 Pt 0.5000 0.0000 0.5000
16 Pt 0.0000 0.5000 0.0000
17 Pb 0.9925 0.0344 0.7517
18 Pb 0.4925 0.4656 0.2517
19 Pb 0.0075 0.9656 0.2483
20 Pb 0.5075 0.5344 0.7483